Density functional theory data (GGA-PBEsol) for Y2Cu2O5 after structural relaxation.

Properties
Its space-group type is No. 62. The energy above the most stable polymorph in this dataset is 0 meV per atom.

a = 6.170 Å, b = 11.080 Å, c = 7.076 Å
α = 90.00°, β = 90.00°, γ = 90.00°
Sites, in units of the cell vectors:
Y 0.250 0.021 0.120
Y 0.250 0.479 0.120
Y 0.250 0.521 0.620
Y 0.250 0.979 0.620
Y 0.750 0.021 0.380
Y 0.750 0.479 0.380
Y 0.750 0.521 0.880
Y 0.750 0.979 0.880
Cu 0.070 0.250 0.345
Cu 0.089 0.250 0.872
Cu 0.411 0.750 0.372
Cu 0.430 0.750 0.845
Cu 0.570 0.250 0.155
Cu 0.589 0.250 0.628
Cu 0.911 0.750 0.128
Cu 0.930 0.750 0.655
O 0.070 0.086 0.856
O 0.070 0.414 0.856
O 0.096 0.088 0.386
O 0.096 0.412 0.386
O 0.245 0.750 0.619
O 0.255 0.250 0.119
O 0.404 0.588 0.886
O 0.404 0.912 0.886
O 0.430 0.586 0.356
O 0.430 0.914 0.356
O 0.570 0.086 0.644
O 0.570 0.414 0.644
O 0.596 0.088 0.114
O 0.596 0.412 0.114
O 0.745 0.750 0.881
O 0.755 0.250 0.381
O 0.904 0.588 0.614
O 0.904 0.912 0.614
O 0.930 0.586 0.144
O 0.930 0.914 0.144